The following is a GGA-PBEsol calculation of Cs2MoBr after structural relaxation, from the Alexandria database.

Unit cell a=6.274 b=6.274 c=6.274 alpha=60.00 beta=60.00 gamma=60.00
Positions (direct):
Cs 0.250 0.250 0.250
Cs 0.750 0.750 0.750
Mo 0.000 0.000 0.000
Br 0.500 0.500 0.500

Summary:
Symmetry = No. 225

---

The following is a GGA-PBEsol calculation of Cs3Mo2BrO7 after structural relaxation, from the Alexandria database.

Unit cell a=6.333 b=6.333 c=16.537 alpha=90.00 beta=90.00 gamma=120.00
Positions (direct):
Cs 0.333 0.667 0.043
Cs 0.333 0.667 0.457
Cs 0.333 0.667 0.750
Cs 0.667 0.333 0.250
Cs 0.667 0.333 0.543
Cs 0.667 0.333 0.957
Mo 0.000 0.000 0.136
Mo 0.000 0.000 0.364
Mo 0.000 0.000 0.636
Mo 0.000 0.000 0.864
Br 0.333 0.667 0.250
Br 0.667 0.333 0.750
O 0.000 0.000 0.250
O 0.000 0.000 0.750
O 0.148 0.296 0.599
O 0.148 0.296 0.901
O 0.148 0.852 0.599
O 0.148 0.852 0.901
O 0.296 0.148 0.099
O 0.296 0.148 0.401
O 0.704 0.852 0.599
O 0.704 0.852 0.901
O 0.852 0.148 0.099
O 0.852 0.148 0.401
O 0.852 0.704 0.099
O 0.852 0.704 0.401

Summary:
DOS(E_F) = 0.0 states/eV/cell
Symmetry = No. 194

---

| no. | total moment (μB/cell) | formation energy (no corrections) (eV/atom) |
| --- | --- | --- |
| 1 | 5.00 | 0.600 |
| 2 | 0.30 | -2.054 |